Record 1
Here is a relaxed K2SbS crystal from Alexandria. Energies are from PBE.

ΔE_f (raw): -0.437 eV per atom
Energy above the most stable polymorph in this dataset: 0 meV/atom
N(E_F): 8.05 states/eV per cell
ρ: 2137 kg/m3

Unit cell a=11.5411 b=11.5411 c=8.5981 alpha=47.84 beta=47.84 gamma=90.00
Fractional positions:
S  0.5000  0.5000  0.0000
S  0.2500  0.7500  0.5000
K  0.3036  0.6250  0.2500
K  0.4464  0.1250  0.2500
K  0.3750  0.5536  0.7500
K  0.8750  0.6964  0.7500
Sb  0.7500  0.2500  0.5000
Sb  0.0000  0.0000  0.0000

***

Record 2
Here is a relaxed YAlSi crystal from Alexandria. Energies are from PBE.

ΔE_f (raw): -0.632 eV per atom
N(E_F): 2.46 states/eV per cell
ρ: 4041 kg/m3

Unit cell a=4.0039 b=5.5360 c=5.7244 alpha=90.00 beta=90.00 gamma=111.19
Fractional positions:
Y  0.6950  0.3913  0.2500
Y  0.3050  0.6087  0.7500
Si  0.5987  0.1969  0.7500
Si  0.4013  0.8031  0.2500
Al  0.0000  0.0000  0.0000
Al  0.0000  0.0000  0.5000

***

Record 3
Here is a relaxed MgMo2As crystal from Alexandria. Energies are from PBE.

ΔH_f (0 K): 0.298 eV per atom
Energy above the most stable polymorph in this dataset: 293 meV/atom
N(E_F): 2.56 states/eV per cell
ρ: 7234 kg/m3

Unit cell a=2.8635 b=2.8635 c=8.6692 alpha=90.00 beta=90.00 gamma=109.93
Fractional positions:
Mg  0.5000  0.5000  0.7500
Mo  0.0000  0.0000  0.4772
Mo  0.0000  0.0000  0.0228
As  0.5000  0.5000  0.2500

***

Record 4
Here is a relaxed SmTmI6 crystal from Alexandria. Energies are from PBE.

ΔE_f (raw): -1.321 eV per atom
N(E_F): 0.00 states/eV per cell
ρ: 5135 kg/m3

Unit cell a=7.6433 b=7.6450 c=8.1961 alpha=62.20 beta=62.19 gamma=60.01
Fractional positions:
I  0.4142  0.7443  0.7464
I  0.7443  0.0949  0.7465
I  0.5858  0.2557  0.2536
I  0.9050  0.5857  0.2536
I  0.2557  0.9051  0.2535
I  0.0950  0.4143  0.7464
Tm  0.5000  0.5000  0.5000
Sm  0.0000  0.0000  0.0000